An optimized crystal structure of Cd2CuMo. Source: the Alexandria database, functional PBE.

Lattice parameters (Å, degrees): 2.8190 2.8190 8.7316 90.00 90.00 90.00
Last column: nearest neighbours and their distance in Å.
Space group P4mm (No. 99)
Asymmetric unit:
Cd 0.0000 0.0000 0.0000 [1 per cell]  4 Cd 2.82, 4 Mo 3.01
Cd 0.5000 0.5000 0.2983 [1 per cell]  4 Cd 2.82, 4 Cu 2.84
Cu 0.0000 0.0000 0.5305 [1 per cell]  4 Mo 2.71, 4 Cu 2.82, 4 Cd 2.84
Mo 0.5000 0.5000 0.7414 [1 per cell]  4 Cu 2.71, 4 Mo 2.82, 4 Cd 3.01

Energy of formation from the pure elements (eV per atom): 0.250
Final energy (eV per atom): -3.94
Polymorph energy (0 for the lowest one) (meV per atom): 0



An optimized crystal structure of CdCuMo2. Source: the Alexandria database, functional PBE.

Lattice parameters (Å, degrees): 3.2640 4.6619 8.6128 90.00 90.00 90.00
Last column: nearest neighbours and their distance in Å.
Space group Imm2 (No. 44)
Asymmetric unit:
Cd 0.0000 0.0000 0.0000 [2 per cell]  2 Cu 2.68, 8 Mo 2.85-3.00
Cu 0.0000 0.5000 0.7467 [2 per cell]  2 Cd 2.68, 6 Mo 2.73-2.86
Mo 0.0000 0.0000 0.5009 [2 per cell]  2 Mo 2.49, 2 Cu 2.73
Mo 0.0000 0.5000 0.2194 [2 per cell]  2 Mo 2.49

Energy of formation from the pure elements (eV per atom): 0.402
Final energy (eV per atom): -6.27



An optimized crystal structure of Cd2CuMo. Source: the Alexandria database, functional PBE.

Lattice parameters (Å, degrees): 2.7885 4.3596 5.8954 90.00 103.61 90.00
Last column: nearest neighbours and their distance in Å.
Space group Pm (No. 6)
Asymmetric unit:
Cd 0.0000 0.0000 0.0000 [1 per cell]  2 Cu 2.70, 6 Cd 2.79-3.00, 2 Mo 2.98-3.00
Cd 0.3715 0.5000 0.7371 [1 per cell]  1 Cu 2.63, 2 Cd 2.79
Cu 0.1522 0.5000 0.2778 [1 per cell]  3 Cd 2.63-2.70, 4 Mo 2.79-2.80, 2 Cu 2.79
Mo 0.7375 0.0000 0.4620 [1 per cell]  4 Cu 2.79-2.80, 2 Mo 2.79, 7 Cd 2.98-3.08

Energy of formation from the pure elements (eV per atom): 0.386
Final energy (eV per atom): -3.80
Polymorph energy (0 for the lowest one) (meV per atom): 135